Below is a relaxed structure of BaPtRhPb3, with properties calculated at the PBE level.

It has space group Cmcm (No. 63), with a = 7.445 Å, b = 13.582 Å, c = 7.360 Å, α = 90.00°, β = 90.00° and γ = 90.00°. Symmetry generates all atoms from Ba at (0.000, 0.220, 0.250), Pt at (0.000, 0.038, 0.750), Rh at (0.000, 0.420, 0.750), Pb at (0.000, 0.233, 0.750) and Pb at (0.230, 0.500, 0.000).

The uncorrected energy is -0.337 Ry per atom.